Entry 1:
This record from Alexandria via LeMat-Bulk describes crystalline LiNd4Zn2Ga at its relaxed geometry. The functional is PBE.

Summary:
Formation enthalpy at 0 K (kJ/mol of formula units): -222

Cell lengths 9.1080, 9.1080, 9.1080 Å; angles 33.42, 33.42, 33.42 degrees
Fractional positions:
Li: 0.0000 0.0000 0.0000
Nd: 0.1270 0.1270 0.1270
Nd: 0.3779 0.3779 0.3779
Nd: 0.6221 0.6221 0.6221
Nd: 0.8730 0.8730 0.8730
Zn: 0.2554 0.2554 0.2554
Zn: 0.7446 0.7446 0.7446
Ga: 0.5000 0.5000 0.5000

---

Entry 2:
This record from Alexandria via LeMat-Bulk describes crystalline RbNaTl3 at its relaxed geometry. The functional is PBE.

Summary:
Excess energy over the best structure of this formula in the dataset (meV/atom): 631.9
Formation enthalpy at 0 K (kJ/mol of formula units): 279

Cell lengths 6.4359, 6.4359, 6.4359 Å; angles 90.00, 90.00, 90.00 degrees
Fractional positions:
Rb: 0.0000 0.0000 0.0000
Na: 0.5000 0.5000 0.5000
Tl: 0.0000 0.0000 0.5000
Tl: 0.0000 0.5000 0.0000
Tl: 0.5000 0.0000 0.0000

---

Entry 3:
This record from Alexandria via LeMat-Bulk describes crystalline Ac2Pm5Y6 at its relaxed geometry. The functional is PBE.

Summary:
Formation enthalpy at 0 K (kJ/mol of formula units): 131

Cell lengths 12.0668, 20.7324, 3.6782 Å; angles 90.00, 90.00, 90.00 degrees
Fractional positions:
Ac: 0.1621 0.2210 0.0000
Ac: 0.3379 0.7210 0.0000
Ac: 0.6621 0.2790 0.0000
Ac: 0.8379 0.7790 0.0000
Pm: 0.0000 0.5000 0.5000
Pm: 0.0981 0.7827 0.5000
Pm: 0.2023 0.0512 0.5000
Pm: 0.2977 0.5512 0.5000
Pm: 0.4019 0.2827 0.5000
Pm: 0.5000 0.0000 0.5000
Pm: 0.5981 0.7173 0.5000
Pm: 0.7023 0.4488 0.5000
Pm: 0.7977 0.9488 0.5000
Pm: 0.9019 0.2173 0.5000
Y: 0.0592 0.9247 0.0000
Y: 0.0742 0.6375 0.0000
Y: 0.1824 0.3796 0.5000
Y: 0.3176 0.8796 0.5000
Y: 0.4258 0.1375 0.0000
Y: 0.4408 0.4247 0.0000
Y: 0.5592 0.5753 0.0000
Y: 0.5742 0.8625 0.0000
Y: 0.6824 0.1204 0.5000
Y: 0.8176 0.6204 0.5000
Y: 0.9258 0.3625 0.0000
Y: 0.9408 0.0753 0.0000

---

Entry 4:
This record from Alexandria via LeMat-Bulk describes crystalline LiHg3Cl2F6 at its relaxed geometry. The functional is PBE.

Summary:
Raw formation energy (eV per atom): -1.33

Cell lengths 6.8417, 6.8417, 5.5124 Å; angles 96.40, 96.40, 65.04 degrees
Fractional positions:
Li: 0.0000 0.0000 0.0000
Hg: 0.0000 0.5000 0.0000
Hg: 0.5000 0.0000 0.0000
Hg: 0.5000 0.5000 0.5000
Cl: 0.3091 0.3091 0.6680
Cl: 0.6909 0.6909 0.3320
F: 0.1555 0.1555 0.1415
F: 0.1950 0.6504 0.2206
F: 0.3496 0.8050 0.7794
F: 0.6504 0.1950 0.2206
F: 0.8050 0.3496 0.7794
F: 0.8445 0.8445 0.8585

---

| no. | VASP energy (eV per formula unit) |
| --- | --- |
| 1 | -28.9 |
| 2 | -6.5 |
| 3 | -69.4 |
| 4 | -33.7 |